1.
First-principles (GGA-PBE) data for crystalline Fe2CuPd6 at its relaxed geometry, as listed in the Alexandria database.

Cell and atoms, written as CIF:
```
data_Fe2CuPd6
_chemical_formula_sum 'Fe4 Cu2 Pd12'
_cell_length_a 2.740
_cell_length_b 7.268
_cell_length_c 13.634
_cell_angle_alpha 90.00
_cell_angle_beta 90.00
_cell_angle_gamma 90.00
_symmetry_space_group_name_H-M 'I m m m'
_symmetry_Int_Tables_number 71
_symmetry_space_group_name_Hall '-I 2 2'
loop_
_atom_site_label
_atom_site_type_symbol
_atom_site_fract_x
_atom_site_fract_y
_atom_site_fract_z
Fe1 Fe 0.000 0.000 0.166
Cu1 Cu 0.000 0.000 0.500
Pd1 Pd 0.000 0.187 0.000
Pd2 Pd 0.000 0.190 0.333
```

Results
Crystal system ... orthorhombic
Energy above the most stable polymorph in this dataset ... 120 meV per atom


2.
First-principles (GGA-PBE) data for crystalline FeCu3Pd2 at its relaxed geometry, as listed in the Alexandria database.

Cell and atoms, written as CIF:
```
data_FeCu3Pd2
_chemical_formula_sum 'Fe4 Cu12 Pd8'
_cell_length_a 13.610
_cell_length_b 3.702
_cell_length_c 7.637
_cell_angle_alpha 90.00
_cell_angle_beta 124.08
_cell_angle_gamma 90.00
_symmetry_space_group_name_H-M 'C 1 2/m 1'
_symmetry_Int_Tables_number 12
loop_
_symmetry_equiv_pos_as_xyz
'x,y,z'
'-x,-y,-z'
'-x,y,-z'
'x,-y,z'
'x+1/2,y+1/2,z'
'-x+1/2,-y+1/2,-z'
'-x+1/2,y+1/2,-z'
'x+1/2,-y+1/2,z'
loop_
_atom_site_label
_atom_site_type_symbol
_atom_site_fract_x
_atom_site_fract_y
_atom_site_fract_z
Fe1 Fe 0.085 0.000 0.210
Cu1 Cu 0.081 0.000 0.702
Cu2 Cu 0.081 0.500 0.464
Cu3 Cu 0.248 0.500 0.878
Pd1 Pd 0.080 0.500 0.946
Pd2 Pd 0.249 0.000 0.629
```

Results
Crystal system ... monoclinic


3.
First-principles (GGA-PBE) data for crystalline FeCuPd2 at its relaxed geometry, as listed in the Alexandria database.

Cell and atoms, written as CIF:
```
data_FeCuPd2
_chemical_formula_sum 'Fe2 Cu2 Pd4'
_cell_length_a 2.653
_cell_length_b 4.605
_cell_length_c 10.060
_cell_angle_alpha 90.00
_cell_angle_beta 90.00
_cell_angle_gamma 90.00
_symmetry_space_group_name_H-M 'I m m m'
_symmetry_Int_Tables_number 71
_symmetry_space_group_name_Hall '-I 2 2'
loop_
_atom_site_label
_atom_site_type_symbol
_atom_site_fract_x
_atom_site_fract_y
_atom_site_fract_z
Fe1 Fe 0.000 0.000 0.000
Cu1 Cu 0.000 0.000 0.500
Pd1 Pd 0.000 0.000 0.243
```

Results
Crystal system ... orthorhombic


4.
First-principles (GGA-PBE) data for crystalline FeCu3Pd4 at its relaxed geometry, as listed in the Alexandria database.

Cell and atoms, written as CIF:
```
data_FeCu3Pd4
_chemical_formula_sum 'Fe2 Cu6 Pd8'
_cell_length_a 8.418
_cell_length_b 6.244
_cell_length_c 4.210
_cell_angle_alpha 90.00
_cell_angle_beta 90.00
_cell_angle_gamma 90.00
_symmetry_space_group_name_H-M 'P m m a'
_symmetry_Int_Tables_number 51
loop_
_symmetry_equiv_pos_as_xyz
'x,y,z'
'-x,-y,-z'
'-x+1/2,-y,z'
'x+1/2,y,-z'
'x+1/2,-y,-z'
'-x+1/2,y,z'
'-x,y,-z'
'x,-y,z'
loop_
_atom_site_label
_atom_site_type_symbol
_atom_site_fract_x
_atom_site_fract_y
_atom_site_fract_z
Fe1 Fe 0.000 0.000 0.000
Cu1 Cu 0.000 0.500 0.000
Cu2 Cu 0.250 0.000 0.499
Cu3 Cu 0.250 0.500 0.499
Pd1 Pd 0.000 0.249 0.500
Pd2 Pd 0.250 0.250 0.999
```

Results
Crystal system ... orthorhombic
Energy above the most stable polymorph in this dataset ... 0 meV per atom


5.
First-principles (GGA-PBE) data for crystalline FeCuPd14 at its relaxed geometry, as listed in the Alexandria database.

Cell and atoms, written as CIF:
```
data_FeCuPd14
_chemical_formula_sum 'Fe2 Cu2 Pd28'
_cell_length_a 9.081
_cell_length_b 5.573
_cell_length_c 9.576
_cell_angle_alpha 90.00
_cell_angle_beta 90.00
_cell_angle_gamma 90.00
_symmetry_space_group_name_H-M 'A m m 2'
_symmetry_Int_Tables_number 38
loop_
_symmetry_equiv_pos_as_xyz
'x,y,z'
'-x,-y,z'
'-x,y,z'
'x,-y,z'
'x,y+1/2,z+1/2'
'-x,-y+1/2,z+1/2'
'-x,y+1/2,z+1/2'
'x,-y+1/2,z+1/2'
loop_
_atom_site_label
_atom_site_type_symbol
_atom_site_fract_x
_atom_site_fract_y
_atom_site_fract_z
Fe1 Fe 0.000 0.000 0.000
Cu1 Cu 0.000 0.000 0.502
Pd1 Pd 0.000 0.250 0.256
Pd2 Pd 0.239 0.249 0.081
Pd3 Pd 0.246 0.000 0.834
Pd4 Pd 0.248 0.000 0.334
Pd5 Pd 0.500 0.000 0.164
Pd6 Pd 0.500 0.000 0.664
Pd7 Pd 0.500 0.250 0.415
```

Results
Crystal system ... orthorhombic


6.
First-principles (GGA-PBE) data for crystalline Fe3CuPd12 at its relaxed geometry, as listed in the Alexandria database.

Cell and atoms, written as CIF:
```
data_Fe3CuPd12
_chemical_formula_sum 'Fe3 Cu1 Pd12'
_cell_length_a 3.904
_cell_length_b 3.904
_cell_length_c 15.510
_cell_angle_alpha 90.00
_cell_angle_beta 90.00
_cell_angle_gamma 90.00
_symmetry_space_group_name_H-M 'P 4/m m m'
_symmetry_Int_Tables_number 123
_symmetry_space_group_name_Hall '-P 4 2'
loop_
_atom_site_label
_atom_site_type_symbol
_atom_site_fract_x
_atom_site_fract_y
_atom_site_fract_z
Fe1 Fe 0.000 0.000 0.000
Fe2 Fe 0.000 0.000 0.253
Cu1 Cu 0.000 0.000 0.500
Pd1 Pd 0.000 0.500 0.125
Pd2 Pd 0.000 0.500 0.374
Pd3 Pd 0.500 0.500 0.000
Pd4 Pd 0.500 0.500 0.249
Pd5 Pd 0.500 0.500 0.500
```

Results
Crystal system ... tetragonal


Number 1: E_form 16 meV/atom. Number 2: E_form -50 meV/atom. Number 3: E_form 356 meV/atom. Number 4: E_form -123 meV/atom. Number 5: E_form -24 meV/atom. Number 6: E_form -87 meV/atom.